DFT (SCAN) results for a crystal of CaGeAu relaxed with PBEsol.

Cell lengths 7.1600, 4.4605, 7.7014 Å; angles 90.00, 90.00, 90.00 degrees
Closest atoms and distances in Å follow each position.
Space group Pnma (No. 62)
Unique sites:
Ca: 0.0006 0.2500 0.2041 [4 per cell]  6 Ge 3.07-3.27, 6 Au 3.09-3.25
Ge: 0.1929 0.2500 0.5897 [4 per cell]  4 Au 2.60-2.80
Au: 0.1981 0.7500 0.4169 [4 per cell]  4 Ge 2.60-2.80

- Theoretical density: 8.36 g/cm³
- Formation energy from the elements: -0.894 eV/atom